7
Lattice="-2.137 2.137 8.860 2.137 -2.137 8.860 2.137 2.137 -8.860" Properties=species:S:1:pos:R:3 comment="Ba2CoBr2O2 PBE+U relaxed" spacegroup="I4/mmm, No. 139" e_tot_ev_per_atom=-5.131 pbc="T T T"
Ba 0.000 0.000 1.783
Ba 0.000 0.000 15.937
Co 0.000 0.000 8.860
Br 0.000 0.000 5.742
Br 0.000 0.000 11.978
O 2.137 0.000 0.000
O 0.000 2.137 0.000